#i
VASP calculation (PBE) on a relaxed structure of CaMgP3.

Unit cell a=5.1374 b=5.1374 c=5.1374 alpha=90.00 beta=90.00 gamma=90.00
Last column: nearest neighbours and their distance in Å.
Fractional coordinates of all 5 atoms:
Ca  0.0000  0.0000  0.0000  6 P 2.57
Mg  0.5000  0.5000  0.5000  12 P 3.63
P  0.0000  0.0000  0.5000  2 Ca 2.57
P  0.0000  0.5000  0.0000  2 Ca 2.57
P  0.5000  0.0000  0.0000  2 Ca 2.57

Computed properties:
space-group type = Pm-3m, No. 221
magnetic moment = 0.000 μB per atom

#ii
VASP calculation (PBE) on a relaxed structure of CaMgP3.

Unit cell a=4.8293 b=4.8293 c=4.8293 alpha=90.00 beta=90.00 gamma=90.00
Last column: nearest neighbours and their distance in Å.
Fractional coordinates of all 5 atoms:
Ca  0.0000  0.0000  0.0000  12 P 3.41
Mg  0.5000  0.5000  0.5000  6 P 2.41
P  0.0000  0.5000  0.5000  2 Mg 2.41
P  0.5000  0.0000  0.5000  2 Mg 2.41
P  0.5000  0.5000  0.0000  2 Mg 2.41

Computed properties:
space-group type = Pm-3m, No. 221
magnetic moment = 0.000 μB per atom

Out of the structures above, which one is the most stable? Solution: #ii.